No. 1
Crystalline MgHg3 at its relaxed geometry. Source: Alexandria, functional GGA-PBEsol.

Results
Its formation energy is -150.6 meV per atom. As for the total energy: -1.00 eV/atom.

Cell lengths 4.9438, 5.6768, 6.1576 Å; angles 90.00, 90.00, 90.00 degrees
Last column: nearest neighbours and their distance in Å.
Atoms (fractional coordinates):
Hg1 0.5000 0.3583 0.0000  4 Mg 3.03-3.08, 8 Hg 3.12-3.32
Hg2 0.0000 0.1595 0.7512  8 Hg 3.06-3.32, 4 Mg 3.08-3.27
Hg3 0.5000 0.8405 0.7488  8 Hg 3.06-3.32, 4 Mg 3.08-3.27
Hg4 0.0000 0.6417 0.5000  4 Mg 3.03-3.08, 8 Hg 3.12-3.32
Hg5 0.0000 0.1595 0.2488  8 Hg 3.06-3.32, 4 Mg 3.08-3.27
Hg6 0.5000 0.8405 0.2512  8 Hg 3.06-3.32, 4 Mg 3.08-3.27
Mg1 0.0000 0.6675 0.0000  12 Hg 3.03-3.27
Mg2 0.5000 0.3325 0.5000  12 Hg 3.03-3.27


No. 2
Crystalline MgHg2 at its relaxed geometry. Source: Alexandria, functional GGA-PBEsol.

Results
Its formation energy is -170.9 meV per atom. As for the total energy: -1.12 eV/atom.

Cell lengths 3.4428, 5.7444, 7.4835 Å; angles 68.14, 76.70, 72.56 degrees
Last column: nearest neighbours and their distance in Å.
Atoms (fractional coordinates):
Mg1 0.8237 0.2079 0.1447  8 Hg 2.91-3.11
Mg2 0.1763 0.7921 0.8553  8 Hg 2.91-3.11
Hg1 0.4573 0.2759 0.8095  5 Mg 2.91-3.09, 4 Hg 3.11-3.22
Hg2 0.8539 0.7548 0.5373  3 Mg 2.95-3.11, 7 Hg 3.01-3.22
Hg3 0.1461 0.2452 0.4627  3 Mg 2.95-3.11, 7 Hg 3.01-3.22
Hg4 0.5427 0.7241 0.1905  5 Mg 2.91-3.09, 4 Hg 3.11-3.22


No. 3
Crystalline Mg2Hg at its relaxed geometry. Source: Alexandria, functional GGA-PBEsol.

Results
Its formation energy is -270.3 meV per atom. As for the total energy: -1.60 eV/atom.

Cell lengths 4.5986, 6.1925, 8.7513 Å; angles 90.00, 90.00, 90.00 degrees
Last column: nearest neighbours and their distance in Å.
Atoms (fractional coordinates):
Hg1 0.7500 0.2156 0.6175  9 Mg 2.84-3.13
Hg2 0.2500 0.2844 0.1175  9 Mg 2.84-3.13
Hg3 0.2500 0.7844 0.3825  9 Mg 2.84-3.13
Hg4 0.7500 0.7156 0.8825  9 Mg 2.84-3.13
Mg1 0.7500 0.6764 0.5592  4 Hg 2.84-2.90, 3 Mg 3.16-3.18
Mg2 0.2500 0.8236 0.0592  4 Hg 2.84-2.90, 3 Mg 3.16-3.18
Mg3 0.2500 0.3236 0.4408  4 Hg 2.84-2.90, 3 Mg 3.16-3.18
Mg4 0.7500 0.1764 0.9408  4 Hg 2.84-2.90, 3 Mg 3.16-3.18
Mg5 0.7500 0.0452 0.2917  5 Hg 2.92-3.13, 5 Mg 3.16-3.18
Mg6 0.2500 0.4548 0.7917  5 Hg 2.92-3.13, 5 Mg 3.16-3.18
Mg7 0.2500 0.9548 0.7083  5 Hg 2.92-3.13, 5 Mg 3.16-3.18
Mg8 0.7500 0.5452 0.2083  5 Hg 2.92-3.13, 5 Mg 3.16-3.18


No. 4
Crystalline Mg2Hg at its relaxed geometry. Source: Alexandria, functional GGA-PBEsol.

Results
Its formation energy is -269.0 meV per atom. As for the total energy: -1.60 eV/atom.

Cell lengths 3.4190, 7.9627, 7.9627 Å; angles 120.00, 90.00, 90.00 degrees
Last column: nearest neighbours and their distance in Å.
Atoms (fractional coordinates):
Hg1 0.5000 0.0000 0.0000  9 Mg 2.83-3.02
Hg2 0.0000 0.6667 0.3333  9 Mg 2.87-3.02
Hg3 0.0000 0.3333 0.6667  9 Mg 2.87-3.02
Mg1 0.0000 0.0000 0.2832  4 Hg 2.83-2.87
Mg2 0.5000 0.0000 0.6211  5 Hg 3.02, 6 Mg 3.19-3.21
Mg3 0.0000 0.7168 0.7168  4 Hg 2.83-2.87
Mg4 0.0000 0.2832 0.0000  4 Hg 2.83-2.87
Mg5 0.5000 0.3789 0.3789  5 Hg 3.02, 6 Mg 3.19-3.21
Mg6 0.5000 0.6211 0.0000  5 Hg 3.02, 6 Mg 3.19-3.21


No. 5
Crystalline Mg5Hg at its relaxed geometry. Source: Alexandria, functional GGA-PBEsol.

Results
Its formation energy is -99.6 meV per atom. As for the total energy: -1.63 eV/atom. Its energy relative to the lowest polymorph listed for this composition is 0.013 eV per atom.

Cell lengths 3.2240, 5.0165, 8.1558 Å; angles 90.00, 101.40, 90.00 degrees
Last column: nearest neighbours and their distance in Å.
Atoms (fractional coordinates):
Mg1 0.2222 0.5000 0.4443  12 Mg 3.11-3.22
Mg2 0.3400 0.0000 0.6800  2 Hg 3.03, 10 Mg 3.08-3.24
Mg3 0.5513 0.5000 0.1026  8 Mg 3.07-3.22, 4 Hg 3.09
Mg4 0.6642 0.0000 0.3284  2 Hg 3.07, 10 Mg 3.09-3.24
Mg5 0.8882 0.5000 0.7765  10 Mg 3.07-3.22, 2 Hg 3.09
Hg1 0.0008 0.0000 0.0015  10 Mg 3.03-3.09, 2 Hg 3.22


No. 6
Crystalline Mg4Hg3 at its relaxed geometry. Source: Alexandria, functional GGA-PBEsol.

Results
Its formation energy is -215.3 meV per atom. As for the total energy: -1.44 eV/atom.

Cell lengths 3.7576, 3.7576, 10.7112 Å; angles 100.10, 100.10, 90.00 degrees
Last column: nearest neighbours and their distance in Å.
Atoms (fractional coordinates):
Mg1 0.1504 0.1504 0.3008  6 Hg 2.92-3.12, 4 Mg 3.14
Mg2 0.4305 0.4305 0.8611  5 Hg 2.88-3.02, 5 Mg 2.88-3.14
Mg3 0.5695 0.5695 0.1389  5 Hg 2.88-3.02, 5 Mg 2.88-3.14
Mg4 0.8496 0.8496 0.6992  6 Hg 2.92-3.12, 4 Mg 3.14
Hg1 0.0000 0.0000 0.0000  10 Mg 3.02-3.12
Hg2 0.2918 0.2918 0.5835  6 Mg 2.88-2.93, 4 Hg 3.17
Hg3 0.7082 0.7082 0.4165  6 Mg 2.88-2.93, 4 Hg 3.17


No. 7
Crystalline MgHg at its relaxed geometry. Source: Alexandria, functional GGA-PBEsol.

Results
Its formation energy is -260.7 meV per atom. As for the total energy: -1.40 eV/atom.

Cell lengths 3.4766, 4.7798, 6.4943 Å; angles 125.47, 104.22, 90.25 degrees
Last column: nearest neighbours and their distance in Å.
Atoms (fractional coordinates):
Mg1 0.3831 0.0835 0.7601  7 Hg 2.87-3.02
Mg2 0.6169 0.9165 0.2399  7 Hg 2.87-3.02
Hg1 0.8823 0.5759 0.7559  7 Mg 2.87-3.02
Hg2 0.1177 0.4241 0.2441  7 Mg 2.87-3.02


No. 8
Crystalline Mg2Hg at its relaxed geometry. Source: Alexandria, functional GGA-PBEsol.

Results
Its formation energy is -212.5 meV per atom. As for the total energy: -1.55 eV/atom.

Cell lengths 4.2858, 4.2858, 13.7901 Å; angles 98.94, 98.94, 90.00 degrees
Last column: nearest neighbours and their distance in Å.
Atoms (fractional coordinates):
Hg1 0.1711 0.6711 0.3423  10 Mg 3.00-3.15, 2 Hg 3.28
Hg2 0.3289 0.8289 0.6577  10 Mg 3.00-3.15, 2 Hg 3.28
Hg3 0.9211 0.9211 0.8423  10 Mg 3.00-3.15, 2 Hg 3.28
Hg4 0.0789 0.0789 0.1577  10 Mg 3.00-3.15, 2 Hg 3.28
Mg1 0.9993 0.4993 0.9985  4 Hg 3.00-3.03, 8 Mg 3.03-3.16
Mg2 0.5007 0.0007 0.0015  4 Hg 3.00-3.03, 8 Mg 3.03-3.16
Mg3 0.7493 0.7493 0.4985  4 Hg 3.00-3.03, 8 Mg 3.03-3.16
Mg4 0.2507 0.2507 0.5015  4 Hg 3.00-3.03, 8 Mg 3.03-3.16
Mg5 0.8355 0.3355 0.6711  6 Mg 3.02-3.16, 6 Hg 3.04-3.15
Mg6 0.6645 0.1645 0.3289  6 Mg 3.02-3.16, 6 Hg 3.04-3.15
Mg7 0.5855 0.5855 0.1711  6 Mg 3.02-3.16, 6 Hg 3.04-3.15
Mg8 0.4145 0.4145 0.8289  6 Mg 3.02-3.16, 6 Hg 3.04-3.15


No. 9
Crystalline Mg3Hg2 at its relaxed geometry. Source: Alexandria, functional GGA-PBEsol.

Results
Its formation energy is -249.1 meV per atom. As for the total energy: -1.51 eV/atom. Its energy relative to the lowest polymorph listed for this composition is 0.000 eV per atom.

Cell lengths 4.7365, 4.7365, 5.7224 Å; angles 90.00, 90.00, 120.00 degrees
Last column: nearest neighbours and their distance in Å.
Atoms (fractional coordinates):
Mg1 0.0000 0.0000 0.0000  6 Hg 2.90
Mg2 0.3333 0.6667 0.3414  5 Hg 2.79-2.93
Mg3 0.6667 0.3333 0.6586  5 Hg 2.79-2.93
Hg1 0.3333 0.6667 0.8291  8 Mg 2.79-2.93
Hg2 0.6667 0.3333 0.1709  8 Mg 2.79-2.93


No. 10
Crystalline Mg5Hg4 at its relaxed geometry. Source: Alexandria, functional GGA-PBEsol.

Results
Its formation energy is -272.5 meV per atom. As for the total energy: -1.48 eV/atom. Its energy relative to the lowest polymorph listed for this composition is 0.000 eV per atom.

Cell lengths 6.0483, 8.4598, 8.4598 Å; angles 120.00, 90.00, 90.00 degrees
Last column: nearest neighbours and their distance in Å.
Atoms (fractional coordinates):
Hg1 0.0000 0.0000 0.0000  6 Mg 2.91, 2 Hg 3.02
Hg2 0.5000 0.0000 0.0000  6 Mg 2.91, 2 Hg 3.02
Hg3 0.7500 0.0000 0.3738  9 Mg 2.81-3.10
Hg4 0.7500 0.3738 0.0000  9 Mg 2.81-3.10
Hg5 0.7500 0.6262 0.6262  9 Mg 2.81-3.10
Hg6 0.2500 0.0000 0.6262  9 Mg 2.81-3.10
Hg7 0.2500 0.6262 0.0000  9 Mg 2.81-3.10
Hg8 0.2500 0.3738 0.3738  9 Mg 2.81-3.10
Mg1 0.7500 0.0000 0.7055  7 Hg 2.81-3.10
Mg2 0.7500 0.7055 0.0000  7 Hg 2.81-3.10
Mg3 0.7500 0.2945 0.2945  7 Hg 2.81-3.10
Mg4 0.2500 0.0000 0.2945  7 Hg 2.81-3.10
Mg5 0.2500 0.2945 0.0000  7 Hg 2.81-3.10
Mg6 0.2500 0.7055 0.7055  7 Hg 2.81-3.10
Mg7 0.0000 0.3333 0.6667  8 Mg 3.02-3.36, 6 Hg 3.06
Mg8 0.5000 0.6667 0.3333  8 Mg 3.02-3.36, 6 Hg 3.06
Mg9 0.0000 0.6667 0.3333  8 Mg 3.02-3.36, 6 Hg 3.06
Mg10 0.5000 0.3333 0.6667  8 Mg 3.02-3.36, 6 Hg 3.06


No. 11
Crystalline MgHg3 at its relaxed geometry. Source: Alexandria, functional GGA-PBEsol.

Results
Its formation energy is -132.1 meV per atom. As for the total energy: -0.99 eV/atom.

Cell lengths 8.3357, 8.3357, 8.9243 Å; angles 90.00, 90.00, 120.00 degrees
Last column: nearest neighbours and their distance in Å.
Atoms (fractional coordinates):
Hg1 0.6282 0.6282 0.5878  7 Hg 2.90-3.24, 4 Mg 2.95-3.25
Hg2 0.0000 0.3718 0.5878  7 Hg 2.90-3.24, 4 Mg 2.95-3.25
Hg3 0.3718 0.0000 0.5878  7 Hg 2.90-3.24, 4 Mg 2.95-3.25
Hg4 0.3718 0.3718 0.0878  7 Hg 2.90-3.24, 4 Mg 2.95-3.25
Hg5 0.0000 0.6282 0.0878  7 Hg 2.90-3.24, 4 Mg 2.95-3.25
Hg6 0.6282 0.0000 0.0878  7 Hg 2.90-3.24, 4 Mg 2.95-3.25
Hg7 0.3241 0.3241 0.7456  7 Hg 2.90-3.24, 3 Mg 2.98-3.00
Hg8 0.0000 0.6759 0.7456  7 Hg 2.90-3.24, 3 Mg 2.98-3.00
Hg9 0.6759 0.0000 0.7456  7 Hg 2.90-3.24, 3 Mg 2.98-3.00
Hg10 0.6759 0.6759 0.2456  7 Hg 2.90-3.24, 3 Mg 2.98-3.00
Hg11 0.0000 0.3241 0.2456  7 Hg 2.90-3.24, 3 Mg 2.98-3.00
Hg12 0.3241 0.0000 0.2456  7 Hg 2.90-3.24, 3 Mg 2.98-3.00
Hg13 0.6667 0.3333 0.9012  3 Mg 2.95, 6 Hg 3.12-3.14
Hg14 0.3333 0.6667 0.4012  3 Mg 2.95, 6 Hg 3.12-3.14
Hg15 0.6667 0.3333 0.4012  3 Mg 2.95, 6 Hg 3.12-3.14
Hg16 0.3333 0.6667 0.9012  3 Mg 2.95, 6 Hg 3.12-3.14
Hg17 0.0000 0.0000 0.0837  3 Mg 2.91, 6 Hg 3.06-3.10
Hg18 0.0000 0.0000 0.5837  3 Mg 2.91, 6 Hg 3.06-3.10
Mg1 0.7046 0.7046 0.9108  10 Hg 2.91-3.25
Mg2 0.0000 0.2954 0.9108  10 Hg 2.91-3.25
Mg3 0.2954 0.0000 0.9108  10 Hg 2.91-3.25
Mg4 0.2954 0.2954 0.4108  10 Hg 2.91-3.25
Mg5 0.0000 0.7046 0.4108  10 Hg 2.91-3.25
Mg6 0.7046 0.0000 0.4108  10 Hg 2.91-3.25


No. 12
Crystalline MgHg3 at its relaxed geometry. Source: Alexandria, functional GGA-PBEsol.

Results
Its formation energy is -144.4 meV per atom. As for the total energy: -1.00 eV/atom.

Cell lengths 4.3821, 4.3786, 5.4514 Å; angles 113.68, 113.70, 90.00 degrees
Last column: nearest neighbours and their distance in Å.
Atoms (fractional coordinates):
Mg1 0.0000 0.5000 0.0000  12 Hg 3.10-3.14
Hg1 0.7498 0.7498 0.4995  8 Hg 3.10-3.14, 4 Mg 3.13-3.14
Hg2 0.2502 0.2502 0.5005  8 Hg 3.10-3.14, 4 Mg 3.13-3.14
Hg3 0.5000 0.0000 0.0000  4 Mg 3.10, 8 Hg 3.13-3.14


No. 13
Crystalline MgHg3 at its relaxed geometry. Source: Alexandria, functional GGA-PBEsol.

Results
Its formation energy is -127.7 meV per atom. As for the total energy: -0.98 eV/atom.

Cell lengths 3.1835, 4.9626, 6.3838 Å; angles 112.87, 104.44, 90.00 degrees
Last column: nearest neighbours and their distance in Å.
Atoms (fractional coordinates):
Mg1 0.0000 0.3493 0.0000  8 Hg 2.87-3.02, 2 Mg 3.18
Hg1 0.7161 0.6911 0.4322  2 Mg 2.99, 7 Hg 3.05-3.18
Hg2 0.2839 0.2590 0.5678  2 Mg 2.99, 7 Hg 3.05-3.18
Hg3 0.5000 0.8672 0.0000  4 Mg 2.87-3.02, 4 Hg 3.13-3.18


No. 14
Crystalline Mg5Hg3 at its relaxed geometry. Source: Alexandria, functional GGA-PBEsol.

Results
Its formation energy is -260.2 meV per atom. As for the total energy: -1.55 eV/atom. Its energy relative to the lowest polymorph listed for this composition is 0.018 eV per atom.

Cell lengths 4.6170, 6.0478, 6.0478 Å; angles 102.48, 90.00, 90.00 degrees
Last column: nearest neighbours and their distance in Å.
Atoms (fractional coordinates):
Hg1 0.0000 0.5000 0.5000  8 Mg 2.82-3.02
Hg2 0.5000 0.7901 0.2099  10 Mg 2.94-3.18
Hg3 0.5000 0.2099 0.7901  10 Mg 2.94-3.18
Mg1 0.0000 0.0000 0.0000  8 Mg 3.02-3.17, 4 Hg 3.04
Mg2 0.0000 0.0000 0.5000  6 Hg 3.01-3.02, 6 Mg 3.02-3.31
Mg3 0.0000 0.5000 0.0000  6 Hg 3.01-3.02, 6 Mg 3.02-3.31
Mg4 0.5000 0.2872 0.2872  4 Hg 2.82-2.94
Mg5 0.5000 0.7128 0.7128  4 Hg 2.82-2.94


No. 15
Crystalline Mg2Hg at its relaxed geometry. Source: Alexandria, functional GGA-PBEsol.

Results
Its formation energy is -175.9 meV per atom. As for the total energy: -1.51 eV/atom.

Cell lengths 5.5944, 5.5944, 5.5944 Å; angles 107.00, 107.00, 114.54 degrees
Last column: nearest neighbours and their distance in Å.
Atoms (fractional coordinates):
Mg1 0.1701 0.6701 0.8401  4 Hg 2.90, 1 Mg 3.20
Mg2 0.6701 0.8299 0.5000  4 Hg 2.90, 1 Mg 3.20
Mg3 0.3299 0.1701 0.5000  4 Hg 2.90, 1 Mg 3.20
Mg4 0.8299 0.3299 0.1599  4 Hg 2.90, 1 Mg 3.20
Hg1 0.7500 0.7500 0.0000  8 Mg 2.90, 2 Hg 3.02
Hg2 0.2500 0.2500 0.0000  8 Mg 2.90, 2 Hg 3.02


No. 16
Crystalline Mg2Hg at its relaxed geometry. Source: Alexandria, functional GGA-PBEsol.

Results
Its formation energy is -205.7 meV per atom. As for the total energy: -1.54 eV/atom.

Cell lengths 3.1978, 5.7626, 7.5127 Å; angles 107.83, 90.00, 106.11 degrees
Last column: nearest neighbours and their distance in Å.
Atoms (fractional coordinates):
Mg1 0.6411 0.2822 0.5311  4 Hg 2.96-3.03, 8 Mg 3.01-3.23
Mg2 0.3336 0.6672 0.8814  5 Hg 2.92-3.09, 5 Mg 3.20-3.23
Mg3 0.6664 0.3328 0.1186  5 Hg 2.92-3.09, 5 Mg 3.20-3.23
Mg4 0.3589 0.7178 0.4689  4 Hg 2.96-3.03, 8 Mg 3.01-3.23
Hg1 0.0406 0.0812 0.7850  9 Mg 2.92-3.09, 2 Hg 3.20
Hg2 0.9594 0.9188 0.2150  9 Mg 2.92-3.09, 2 Hg 3.20


No. 17
Crystalline MgMn2Hg at its relaxed geometry. Source: Alexandria, functional GGA-PBEsol.

Results
Its formation energy is 297.4 meV per atom. As for the total energy: -5.15 eV/atom. Its energy relative to the lowest polymorph listed for this composition is 0.000 eV per atom.

Cell lengths 3.9962, 3.9962, 3.9940 Å; angles 90.00, 90.00, 90.00 degrees
Last column: nearest neighbours and their distance in Å.
Atoms (fractional coordinates):
Hg1 0.5000 0.5000 0.5000  8 Mn 2.82, 4 Mg 2.83
Mg1 0.0000 0.0000 0.5000  8 Mn 2.82, 4 Hg 2.83
Mn1 0.0000 0.5000 0.0000  4 Hg 2.82, 4 Mg 2.82, 4 Mn 2.83
Mn2 0.5000 0.0000 0.0000  4 Hg 2.82, 4 Mg 2.82, 4 Mn 2.83


No. 18
Crystalline MgMn3Hg at its relaxed geometry. Source: Alexandria, functional GGA-PBEsol.

Results
Its formation energy is 1499.0 meV per atom. As for the total energy: -4.81 eV/atom.

Cell lengths 4.5996, 4.5996, 4.5996 Å; angles 90.00, 90.00, 90.00 degrees
Last column: nearest neighbours and their distance in Å.
Atoms (fractional coordinates):
Mg1 0.0000 0.0000 0.0000  6 Mn 2.30
Mn1 0.0000 0.5000 0.0000  2 Mg 2.30
Mn2 0.0000 0.0000 0.5000  2 Mg 2.30
Mn3 0.5000 0.0000 0.0000  2 Mg 2.30
Hg1 0.5000 0.5000 0.5000  12 Mn 3.25


No. 19
Crystalline MgMn2Hg at its relaxed geometry. Source: Alexandria, functional GGA-PBEsol.

Results
Its formation energy is 367.0 meV per atom. As for the total energy: -5.08 eV/atom. Its energy relative to the lowest polymorph listed for this composition is 0.070 eV per atom.

Cell lengths 3.9703, 3.9703, 4.9991 Å; angles 113.40, 113.40, 90.00 degrees
Last column: nearest neighbours and their distance in Å.
Atoms (fractional coordinates):
Hg1 0.5000 0.5000 0.0000  8 Mn 2.81-2.87, 4 Mg 2.87
Mg1 0.2500 0.7500 0.5000  8 Mn 2.81-2.87, 4 Hg 2.87
Mn1 0.0000 0.0000 0.0000  4 Hg 2.81, 4 Mg 2.87, 4 Mn 2.87
Mn2 0.7500 0.2500 0.5000  4 Mg 2.81, 4 Hg 2.87, 4 Mn 2.87


No. 20
Crystalline MgMn2Hg at its relaxed geometry. Source: Alexandria, functional GGA-PBEsol.

Results
Its formation energy is 387.1 meV per atom. As for the total energy: -5.06 eV/atom. Its energy relative to the lowest polymorph listed for this composition is 0.090 eV per atom.

Cell lengths 3.3537, 3.3537, 5.8693 Å; angles 90.00, 90.00, 90.00 degrees
Last column: nearest neighbours and their distance in Å.
Atoms (fractional coordinates):
Hg1 0.5000 0.5000 0.0000  8 Mn 2.80, 2 Mg 2.93
Mg1 0.5000 0.5000 0.5000  8 Mn 2.78, 2 Hg 2.93
Mn1 0.0000 0.0000 0.7476  4 Mg 2.78, 4 Hg 2.80, 2 Mn 2.91-2.96
Mn2 0.0000 0.0000 0.2524  4 Mg 2.78, 4 Hg 2.80, 2 Mn 2.91-2.96